Here is an optimized crystal structure of Ta4MoP from the Alexandria database. Energies are from PBE.

abc: 5.361 5.361 5.361
angles: 60.00 60.00 60.00
Fractional coordinates of all 6 atoms:
Ta: 0.125 0.125 0.125
Ta: 0.125 0.125 0.626
Ta: 0.125 0.626 0.125
Ta: 0.626 0.125 0.125
Mo: 0.750 0.750 0.750
P: 0.500 0.500 0.500

- formation energy (eV per atom) = 0.61
- V (Å³ per cell) = 109
- symmetry = F-43m
- total magnetic moment (Bohr magnetons per cell) = 0.00
- calculated density (g/cm³) = 13.0
- E_tot (eV/atom) = -9.9982